# 1
{
  "formula": "Sb2Au7",
  "functional": "PBE-GGA",
  "state": "relaxed",
  "final_energy_ev_per_atom": -3.33,
  "lattice_angstrom": [[3.0379, 0.0000, 0.0000], [-1.5189, 2.6309, 0.0000], [0.0000, 0.0000, 29.9246]],
  "species": ["Sb", "Sb", "Au", "Au", "Au", "Au", "Au", "Au", "Au"],
  "frac_coords": [[0.3333, 0.6667, 0.1892], [0.6667, 0.3333, 0.8108], [0.0000, 0.0000, 0.2697], [0.0000, 0.0000, 0.5000], [0.0000, 0.0000, 0.7303], [0.3333, 0.6667, 0.4235], [0.3333, 0.6667, 0.6529], [0.6667, 0.3333, 0.3471], [0.6667, 0.3333, 0.5765]]
}



# 2
{
  "formula": "ScSb2Au",
  "functional": "PBE-GGA",
  "state": "relaxed",
  "final_energy_ev_per_atom": -4.65,
  "lattice_angstrom": [[7.1843, 0.0000, 0.0000], [0.0000, 7.1843, 0.0000], [0.0000, 0.0000, 7.1843]],
  "species": ["Sc", "Sc", "Sc", "Sc", "Sb", "Sb", "Sb", "Sb", "Sb", "Sb", "Sb", "Sb", "Au", "Au", "Au", "Au"],
  "frac_coords": [[0.0000, 0.0000, 0.0000], [0.0000, 0.5000, 0.5000], [0.5000, 0.0000, 0.5000], [0.5000, 0.5000, 0.0000], [0.0000, 0.0000, 0.5000], [0.0000, 0.5000, 0.0000], [0.2500, 0.2500, 0.7500], [0.2500, 0.7500, 0.2500], [0.5000, 0.0000, 0.0000], [0.5000, 0.5000, 0.5000], [0.7500, 0.2500, 0.2500], [0.7500, 0.7500, 0.7500], [0.2500, 0.2500, 0.2500], [0.2500, 0.7500, 0.7500], [0.7500, 0.2500, 0.7500], [0.7500, 0.7500, 0.2500]]
}



# 3
{
  "formula": "SbAuSe3",
  "functional": "PBE-GGA",
  "state": "relaxed",
  "final_energy_ev_per_atom": -3.69,
  "lattice_angstrom": [[3.5559, -5.7329, 0.0000], [3.5559, 5.7329, 0.0000], [-3.3235, 0.0000, 6.8079]],
  "species": ["Sb", "Sb", "Au", "Au", "Se", "Se", "Se", "Se", "Se", "Se"],
  "frac_coords": [[0.1749, 0.8251, 0.0000], [0.8251, 0.1749, 0.0000], [0.1740, 0.8260, 0.5000], [0.8260, 0.1740, 0.5000], [0.0325, 0.0325, 0.7170], [0.2769, 0.6221, 0.2375], [0.3779, 0.7230, 0.7625], [0.6221, 0.2769, 0.2375], [0.7230, 0.3779, 0.7625], [0.9675, 0.9675, 0.2830]]
}



# 4
{
  "formula": "SbAuSe2",
  "functional": "PBE-GGA",
  "state": "relaxed",
  "final_energy_ev_per_atom": -3.68,
  "lattice_angstrom": [[6.6264, 0.0000, 0.0000], [0.0000, 4.1024, 0.0000], [0.0000, 0.0000, 15.9516]],
  "species": ["Sb", "Sb", "Sb", "Sb", "Au", "Au", "Au", "Au", "Se", "Se", "Se", "Se", "Se", "Se", "Se", "Se"],
  "frac_coords": [[0.2487, 0.2500, 0.0669], [0.2513, 0.7500, 0.5669], [0.7487, 0.2500, 0.4331], [0.7513, 0.7500, 0.9331], [0.1704, 0.7500, 0.3503], [0.3296, 0.2500, 0.8503], [0.6704, 0.7500, 0.1497], [0.8296, 0.2500, 0.6497], [0.1509, 0.7500, 0.9236], [0.2030, 0.2500, 0.6816], [0.2970, 0.7500, 0.1816], [0.3491, 0.2500, 0.4236], [0.6509, 0.7500, 0.5764], [0.7030, 0.2500, 0.8184], [0.7970, 0.7500, 0.3184], [0.8491, 0.2500, 0.0764]]
}



# 5
{
  "formula": "Si2SbAu",
  "functional": "PBE-GGA",
  "state": "relaxed",
  "final_energy_ev_per_atom": -4.05,
  "lattice_angstrom": [[6.7831, 0.0000, 0.0000], [0.0000, 6.7831, 0.0000], [0.0000, 0.0000, 6.7831]],
  "species": ["Si", "Si", "Si", "Si", "Si", "Si", "Si", "Si", "Sb", "Sb", "Sb", "Sb", "Au", "Au", "Au", "Au"],
  "frac_coords": [[0.0000, 0.0000, 0.0000], [0.0000, 0.5000, 0.5000], [0.2500, 0.2500, 0.2500], [0.2500, 0.7500, 0.7500], [0.5000, 0.0000, 0.5000], [0.5000, 0.5000, 0.0000], [0.7500, 0.2500, 0.7500], [0.7500, 0.7500, 0.2500], [0.2500, 0.2500, 0.7500], [0.2500, 0.7500, 0.2500], [0.7500, 0.2500, 0.2500], [0.7500, 0.7500, 0.7500], [0.0000, 0.0000, 0.5000], [0.0000, 0.5000, 0.0000], [0.5000, 0.0000, 0.0000], [0.5000, 0.5000, 0.5000]]
}



# 6
{
  "formula": "Sm3Sb4Au3",
  "functional": "PBE-GGA",
  "state": "relaxed",
  "final_energy_ev_per_atom": -4.91,
  "lattice_angstrom": [[-5.0064, 5.0064, 5.0064], [5.0064, -5.0064, 5.0064], [5.0064, 5.0064, -5.0064]],
  "species": ["Sm", "Sm", "Sm", "Sm", "Sm", "Sm", "Sb", "Sb", "Sb", "Sb", "Sb", "Sb", "Sb", "Sb", "Au", "Au", "Au", "Au", "Au", "Au"],
  "frac_coords": [[0.1250, 0.8750, 0.2500], [0.2500, 0.1250, 0.8750], [0.3750, 0.6250, 0.7500], [0.6250, 0.7500, 0.3750], [0.7500, 0.3750, 0.6250], [0.8750, 0.2500, 0.1250], [0.0000, 0.1766, 0.5000], [0.0000, 0.6766, 0.5000], [0.1766, 0.5000, 0.0000], [0.3234, 0.3234, 0.3234], [0.5000, 0.0000, 0.1766], [0.5000, 0.0000, 0.6766], [0.6766, 0.5000, 0.0000], [0.8234, 0.8234, 0.8234], [0.1250, 0.7500, 0.8750], [0.2500, 0.6250, 0.3750], [0.3750, 0.2500, 0.6250], [0.6250, 0.3750, 0.2500], [0.7500, 0.8750, 0.1250], [0.8750, 0.1250, 0.7500]]
}



# 7
{
  "formula": "Sn2SbAu",
  "functional": "PBE-GGA",
  "state": "relaxed",
  "final_energy_ev_per_atom": -3.72,
  "lattice_angstrom": [[7.3375, 0.0000, 0.0000], [0.0000, 7.3375, 0.0000], [0.0000, 0.0000, 7.3375]],
  "species": ["Sn", "Sn", "Sn", "Sn", "Sn", "Sn", "Sn", "Sn", "Sb", "Sb", "Sb", "Sb", "Au", "Au", "Au", "Au"],
  "frac_coords": [[0.0000, 0.0000, 0.0000], [0.0000, 0.5000, 0.5000], [0.2500, 0.2500, 0.2500], [0.2500, 0.7500, 0.7500], [0.5000, 0.0000, 0.5000], [0.5000, 0.5000, 0.0000], [0.7500, 0.2500, 0.7500], [0.7500, 0.7500, 0.2500], [0.0000, 0.0000, 0.5000], [0.0000, 0.5000, 0.0000], [0.5000, 0.0000, 0.0000], [0.5000, 0.5000, 0.5000], [0.2500, 0.2500, 0.7500], [0.2500, 0.7500, 0.2500], [0.7500, 0.2500, 0.2500], [0.7500, 0.7500, 0.7500]]
}



# 8
{
  "formula": "SnSb2Au2",
  "functional": "PBE-GGA",
  "state": "relaxed",
  "final_energy_ev_per_atom": -3.62,
  "lattice_angstrom": [[1.5892, -6.6975, 0.0000], [1.5892, 6.6975, 0.0000], [0.0000, 0.0000, 12.3795]],
  "species": ["Sn", "Sn", "Sb", "Sb", "Sb", "Sb", "Au", "Au", "Au", "Au"],
  "frac_coords": [[0.0279, 0.9721, 0.7500], [0.9721, 0.0279, 0.2500], [0.3135, 0.6865, 0.0877], [0.3135, 0.6865, 0.4123], [0.6865, 0.3135, 0.5877], [0.6865, 0.3135, 0.9123], [0.1722, 0.8278, 0.2500], [0.5000, 0.5000, 0.0000], [0.5000, 0.5000, 0.5000], [0.8278, 0.1722, 0.7500]]
}



# 9
{
  "formula": "SnSbAu2",
  "functional": "PBE-GGA",
  "state": "relaxed",
  "final_energy_ev_per_atom": -3.53,
  "lattice_angstrom": [[7.1205, 0.0000, 0.0000], [0.0000, 7.1205, 0.0000], [0.0000, 0.0000, 7.1205]],
  "species": ["Sn", "Sn", "Sn", "Sn", "Sb", "Sb", "Sb", "Sb", "Au", "Au", "Au", "Au", "Au", "Au", "Au", "Au"],
  "frac_coords": [[0.0000, 0.0000, 0.0000], [0.0000, 0.5000, 0.5000], [0.5000, 0.0000, 0.5000], [0.5000, 0.5000, 0.0000], [0.2500, 0.2500, 0.2500], [0.2500, 0.7500, 0.7500], [0.7500, 0.2500, 0.7500], [0.7500, 0.7500, 0.2500], [0.0000, 0.0000, 0.5000], [0.0000, 0.5000, 0.0000], [0.2500, 0.2500, 0.7500], [0.2500, 0.7500, 0.2500], [0.5000, 0.0000, 0.0000], [0.5000, 0.5000, 0.5000], [0.7500, 0.2500, 0.2500], [0.7500, 0.7500, 0.7500]]
}



# 10
{
  "formula": "SnSbAu",
  "functional": "PBE-GGA",
  "state": "relaxed",
  "final_energy_ev_per_atom": -3.85,
  "lattice_angstrom": [[6.8408, 0.0000, 0.0000], [0.0000, 6.8408, 0.0000], [0.0000, 0.0000, 6.8408]],
  "species": ["Sn", "Sn", "Sn", "Sn", "Sb", "Sb", "Sb", "Sb", "Au", "Au", "Au", "Au"],
  "frac_coords": [[0.0000, 0.0000, 0.0000], [0.0000, 0.5000, 0.5000], [0.5000, 0.0000, 0.5000], [0.5000, 0.5000, 0.0000], [0.0000, 0.0000, 0.5000], [0.0000, 0.5000, 0.0000], [0.5000, 0.0000, 0.0000], [0.5000, 0.5000, 0.5000], [0.2500, 0.2500, 0.7500], [0.2500, 0.7500, 0.2500], [0.7500, 0.2500, 0.2500], [0.7500, 0.7500, 0.7500]]
}



# 11
{
  "formula": "Sr2SbAu",
  "functional": "PBE-GGA",
  "state": "relaxed",
  "final_energy_ev_per_atom": -3.63,
  "lattice_angstrom": [[5.5775, 0.0000, 0.0000], [0.0000, 5.5775, 0.0000], [0.0000, 0.0000, 7.8666]],
  "species": ["Sr", "Sr", "Sr", "Sr", "Sb", "Sb", "Au", "Au"],
  "frac_coords": [[0.0000, 0.5000, 0.2500], [0.0000, 0.5000, 0.7500], [0.5000, 0.0000, 0.2500], [0.5000, 0.0000, 0.7500], [0.0000, 0.0000, 0.0000], [0.5000, 0.5000, 0.5000], [0.0000, 0.0000, 0.5000], [0.5000, 0.5000, 0.0000]]
}



# 12
{
  "formula": "Sr2SbAu",
  "functional": "PBE-GGA",
  "state": "relaxed",
  "final_energy_ev_per_atom": -3.63,
  "lattice_angstrom": [[7.8683, 0.0000, 0.0000], [0.0000, 7.8683, 0.0000], [0.0000, 0.0000, 7.8683]],
  "species": ["Sr", "Sr", "Sr", "Sr", "Sr", "Sr", "Sr", "Sr", "Sb", "Sb", "Sb", "Sb", "Au", "Au", "Au", "Au"],
  "frac_coords": [[0.2500, 0.2500, 0.2500], [0.2500, 0.2500, 0.7500], [0.2500, 0.7500, 0.2500], [0.2500, 0.7500, 0.7500], [0.7500, 0.2500, 0.2500], [0.7500, 0.2500, 0.7500], [0.7500, 0.7500, 0.2500], [0.7500, 0.7500, 0.7500], [0.0000, 0.0000, 0.0000], [0.0000, 0.5000, 0.5000], [0.5000, 0.0000, 0.5000], [0.5000, 0.5000, 0.0000], [0.0000, 0.0000, 0.5000], [0.0000, 0.5000, 0.0000], [0.5000, 0.0000, 0.0000], [0.5000, 0.5000, 0.5000]]
}